{"formula": "La5Be", "functional": "PBE", "state": "optimized geometry", "cell": [[-4.4047, 2.5821, 4.1526], [0.1374, 6.4383, 1.3575], [-4.7504, 3.9451, -2.2767]], "species": ["La", "La", "La", "La", "La", "Be"], "fractional_positions": [[0.2500, 0.2500, 0.2500], [0.6263, 0.6263, 0.6263], [0.6263, 0.6263, 0.1212], [0.1212, 0.6263, 0.6263], [0.6263, 0.1212, 0.6263], [0.0000, 0.0000, 0.0000]], "formation_energy_kj_per_mol_atoms": 56, "de_polymorph_mev_per_atom": 504, "magnetic_moment_mub_per_fu": 0.00, "e_tot_ev_per_cell": -24.9}